#A
First-principles (SCAN) data for a crystal of TlTc2Pb relaxed with PBEsol, as listed in the Alexandria database.

Computed properties:
Calculated density = 12.5 g/cm3
N(E_F) = 0.499 states/eV/atom

Unit cell a=9.9300 b=3.1376 c=6.0026 alpha=90.00 beta=119.98 gamma=90.00
With the nearest neighbours (Å) after each atom.
Space group Cm (No. 8)
Symmetry-distinct sites (fractional):
Tl 0.0000 0.0000 0.0000 (multiplicity 2)  3 Tc 2.78-2.85
Tc 0.2699 0.5000 0.1341 (multiplicity 2)  2 Tc 2.36
Tc 0.4008 0.0000 0.4685 (multiplicity 2)  2 Tc 2.36
Pb 0.1774 0.0000 0.6251 (multiplicity 2)  5 Tc 2.81-3.14, 2 Pb 3.14

***

#B
First-principles (SCAN) data for a crystal of TlTc2Pb relaxed with PBEsol, as listed in the Alexandria database.

Computed properties:
Calculated density = 14.1 g/cm3
N(E_F) = 0.600 states/eV/atom

Unit cell a=4.6571 b=4.6571 c=3.2885 alpha=90.00 beta=90.00 gamma=90.00
With the nearest neighbours (Å) after each atom.
Space group P4/mmm (No. 123)
Symmetry-distinct sites (fractional):
Tl 0.0000 0.0000 0.0000 (multiplicity 1)  8 Tc 2.85
Tc 0.0000 0.5000 0.5000 (multiplicity 2)  4 Tl 2.85, 4 Pb 2.85
Pb 0.5000 0.5000 0.0000 (multiplicity 1)  8 Tc 2.85

***

Most stable pick: #A. Distance to second place: 0.256 eV/atom.